[1]
Below is an optimized crystal structure of TaNi3, with properties calculated at the PBE-GGA level.

Structure (POSCAR):
```
TaNi3
1.0
-1.817 1.817 7.530
1.817 -1.817 7.530
1.817 1.817 -7.530
Ta Ni
2 6
direct
0.128 0.128 0.000 Ta
0.872 0.872 0.000 Ta
0.000 0.500 0.500 Ni
0.250 0.750 0.500 Ni
0.382 0.382 0.000 Ni
0.500 0.000 0.500 Ni
0.618 0.618 0.000 Ni
0.750 0.250 0.500 Ni
```

ρ	11925	kg/m³
space-group type	I4/mmm


[2]
Below is an optimized crystal structure of TaNi, with properties calculated at the PBE-GGA level.

Structure (POSCAR):
```
TaNi
1.0
8.898 0.000 0.000
-4.449 7.706 0.000
0.000 0.000 2.768
Ta Ni
6 6
direct
0.136 0.642 0.250 Ta
0.358 0.495 0.250 Ta
0.495 0.136 0.750 Ta
0.505 0.864 0.250 Ta
0.642 0.505 0.750 Ta
0.864 0.358 0.750 Ta
0.043 0.254 0.250 Ni
0.211 0.957 0.250 Ni
0.254 0.211 0.750 Ni
0.746 0.789 0.250 Ni
0.789 0.043 0.750 Ni
0.957 0.746 0.750 Ni
```

ρ	12578	kg/m³
space-group type	P6_3/m


no.,formation energy (eV per atom)
1,-0.3209
2,0.2989